Ca3NbN4 (PBE, optimized geometry); DOS at the Fermi energy = 0.82 states/eV per atom; energy relative to the elements, uncorrected = -21.56 kcal/mol of atoms; final energy = -7.107 eV per atom; space group = Pmn2_1
1.0
7.8789 0.0000 0.0000
0.0000 6.7949 0.0000
0.0000 0.0000 5.1064
Ca Nb N
6 2 8
direct
0.0000 0.1550 0.0000
0.2450 0.3292 0.5009
0.2550 0.6708 0.0009
0.5000 0.8450 0.5000
0.7450 0.6708 0.0009
0.7550 0.3292 0.5009
0.0000 0.8259 0.4615
0.5000 0.1741 0.9615
0.0000 0.1170 0.5203
0.0000 0.8223 0.0854
0.2205 0.6843 0.5213
0.2795 0.3157 0.0213
0.5000 0.1777 0.5854
0.5000 0.8830 0.0203
0.7205 0.3157 0.0213
0.7795 0.6843 0.5213